Below is Ba4Zn3Pt2 after structural relaxation, with properties calculated at the GGA-PBE level.

Calculated values
- DFT formation energy: -0.438 eV per atom
- ρ: 6.730 Mg/m³
- Magnetization: 0.00 Bohr magnetons per cell
- Total energy: -0.1124 Ha/atom

abc: 8.9416 8.9416 7.9845
angles: 108.74 108.74 27.72
Atoms (fractional coordinates):
Ba1 0.0703 0.0703 0.3677
Ba2 0.2663 0.2663 0.8049
Ba3 0.7337 0.7337 0.1951
Ba4 0.9297 0.9297 0.6323
Zn1 0.4050 0.4050 0.2314
Zn2 0.5000 0.5000 0.0000
Zn3 0.5950 0.5950 0.7686
Pt1 0.0965 0.0965 0.9594
Pt2 0.9035 0.9035 0.0406